(1)
First-principles (GGA-PBE) data for a relaxed structure of MoP2Au, as listed in Alexandria via LeMat-Bulk. Values from VASP.

## Properties
formation energy from the elements	5	kJ/mol of formula units
ΔE to the lowest computed polymorph	45.9	meV/atom
final energy	-6.219	eV per atom

The structure in Quantum ESPRESSO input format:
```
&SYSTEM
  ibrav = 0, nat = 4, ntyp = 3
/
ATOMIC_SPECIES
Mo 95.94 Mo.upf
P 30.97 P.upf
Au 196.97 Au.upf
ATOMIC_POSITIONS angstrom
Mo 0.000 0.000 0.000
P 1.530 0.000 1.896
P 0.000 0.000 5.408
Au 0.000 1.734 3.463
CELL_PARAMETERS angstrom
-1.530 1.734 6.274
1.530 -1.734 6.274
1.530 1.734 -6.274
```

***

(2)
First-principles (GGA-PBE) data for a relaxed structure of KYbSiS4, as listed in Alexandria via LeMat-Bulk. Values from VASP.

## Properties
final energy	-4.741	eV per atom
E_form (uncorrected)	-1.23	eV per atom

The structure in Quantum ESPRESSO input format:
```
&SYSTEM
  ibrav = 0, nat = 14, ntyp = 4
/
ATOMIC_SPECIES
K 39.10 K.upf
Yb 173.04 Yb.upf
Si 28.09 Si.upf
S 32.06 S.upf
ATOMIC_POSITIONS angstrom
K 0.380 1.544 3.733
K 3.675 4.632 4.752
Yb -0.691 1.544 8.021
Yb 4.747 4.632 0.465
Si 1.328 4.632 1.489
Si 2.728 1.544 6.997
S -0.320 4.632 2.792
S -1.810 4.632 7.933
S 2.739 0.038 1.842
S 2.739 3.049 1.842
S 1.317 3.126 6.643
S 1.317 6.137 6.643
S 5.866 1.544 0.552
S 4.376 1.544 5.694
CELL_PARAMETERS angstrom
6.621 0.000 0.000
0.000 6.176 0.000
-2.565 0.000 8.486
```

***

(3)
First-principles (GGA-PBE) data for a relaxed structure of Cr2Au, as listed in Alexandria via LeMat-Bulk. Values from VASP.

## Properties
formation energy from the elements	90	kJ/mol of formula units
final energy	-7.199	eV per atom

The structure in Quantum ESPRESSO input format:
```
&SYSTEM
  ibrav = 0, nat = 3, ntyp = 2
/
ATOMIC_SPECIES
Cr 52.00 Cr.upf
Au 196.97 Au.upf
ATOMIC_POSITIONS angstrom
Cr 0.000 0.000 1.804
Cr 0.000 0.000 7.478
Au 0.000 0.000 4.641
CELL_PARAMETERS angstrom
-1.501 1.501 4.641
1.501 -1.501 4.641
1.501 1.501 -4.641
```

***

(4)
First-principles (GGA-PBE) data for a relaxed structure of CsUSi2S8, as listed in Alexandria via LeMat-Bulk. Values from VASP.

## Properties
final energy	-5.394	eV per atom
E_form (uncorrected)	-0.73	eV per atom

The structure in Quantum ESPRESSO input format:
```
&SYSTEM
  ibrav = 0, nat = 12, ntyp = 4
/
ATOMIC_SPECIES
Cs 132.91 Cs.upf
U 238.03 U.upf
Si 28.09 Si.upf
S 32.06 S.upf
ATOMIC_POSITIONS angstrom
Cs 0.000 0.000 0.000
U 0.000 0.000 4.817
Si 0.000 3.658 6.995
Si 3.167 1.829 2.639
S -0.978 1.862 6.301
S -1.066 5.402 6.301
S 0.000 3.658 9.069
S 1.124 1.778 3.333
S 2.043 3.708 6.301
S 3.167 1.829 0.565
S 4.233 0.084 3.333
S 4.145 3.624 3.333
CELL_PARAMETERS angstrom
6.335 0.000 0.000
-3.167 5.486 0.000
0.000 0.000 9.634
```

***

(5)
First-principles (GGA-PBE) data for a relaxed structure of Li5ZnAu8, as listed in Alexandria via LeMat-Bulk. Values from VASP.

## Properties
formation energy from the elements	-454	kJ/mol of formula units
final energy	-2.983	eV per atom

The structure in Quantum ESPRESSO input format:
```
&SYSTEM
  ibrav = 0, nat = 14, ntyp = 3
/
ATOMIC_SPECIES
Li 6.94 Li.upf
Zn 65.41 Zn.upf
Au 196.97 Au.upf
ATOMIC_POSITIONS angstrom
Li 0.000 0.000 0.000
Li 2.928 2.176 -0.690
Li 1.686 -0.934 4.630
Li 0.934 1.686 3.250
Li 2.176 4.797 0.690
Zn 3.863 0.000 1.970
Au 1.342 -0.696 1.989
Au 2.521 4.559 -1.951
Au 0.580 2.569 0.684
Au 3.166 2.521 1.951
Au -0.580 5.156 0.684
Au -1.293 3.283 3.256
Au 0.696 1.342 5.891
Au 1.293 4.443 3.256
CELL_PARAMETERS angstrom
-3.863 3.863 3.940
3.863 -3.863 3.940
3.863 3.863 -3.940
```

***

(6)
First-principles (GGA-PBE) data for a relaxed structure of TmU2Te5, as listed in Alexandria via LeMat-Bulk. Values from VASP.

## Properties
final energy	-5.424	eV per atom
E_form (uncorrected)	-0.08	eV per atom

The structure in Quantum ESPRESSO input format:
```
&SYSTEM
  ibrav = 0, nat = 8, ntyp = 3
/
ATOMIC_SPECIES
Tm 168.93 Tm.upf
U 238.03 U.upf
Te 127.60 Te.upf
ATOMIC_POSITIONS angstrom
Tm 0.000 0.000 0.000
U 0.000 3.714 2.622
U 3.714 0.000 2.622
Te 0.000 0.000 2.622
Te 2.069 2.069 0.000
Te 2.069 5.358 0.000
Te 5.358 2.069 0.000
Te 5.358 5.358 0.000
CELL_PARAMETERS angstrom
7.428 0.000 0.000
0.000 7.428 0.000
0.000 0.000 5.244
```

***

(7)
First-principles (GGA-PBE) data for a relaxed structure of AcErMgSn2, as listed in Alexandria via LeMat-Bulk. Values from VASP.

## Properties
formation energy from the elements	-281	kJ/mol of formula units
final energy	-4.236	eV per atom

The structure in Quantum ESPRESSO input format:
```
&SYSTEM
  ibrav = 0, nat = 5, ntyp = 4
/
ATOMIC_SPECIES
Ac 227.00 Ac.upf
Er 167.26 Er.upf
Mg 24.30 Mg.upf
Sn 118.71 Sn.upf
ATOMIC_POSITIONS angstrom
Ac 0.000 0.000 0.000
Er 0.000 2.369 3.338
Mg 2.369 0.000 3.338
Sn 0.000 0.000 5.194
Sn 0.000 0.000 8.157
CELL_PARAMETERS angstrom
-2.369 2.369 6.675
2.369 -2.369 6.675
2.369 2.369 -6.675
```

***

(8)
First-principles (GGA-PBE) data for a relaxed structure of PmPr4Tm3, as listed in Alexandria via LeMat-Bulk. Values from VASP.

## Properties
formation energy from the elements	15	kJ/mol of formula units
ΔE to the lowest computed polymorph	0.0	meV/atom
final energy	-4.641	eV per atom

The structure in Quantum ESPRESSO input format:
```
&SYSTEM
  ibrav = 0, nat = 16, ntyp = 3
/
ATOMIC_SPECIES
Pm 145.00 Pm.upf
Pr 140.91 Pr.upf
Tm 168.93 Tm.upf
ATOMIC_POSITIONS angstrom
Pm 0.000 0.000 0.000
Pm 5.136 0.000 3.613
Pr 0.000 0.000 3.613
Pr 0.000 3.613 0.000
Pr 2.568 1.820 1.806
Pr 2.568 5.407 5.419
Pr 5.136 0.000 0.000
Pr 5.136 3.613 3.613
Pr 7.704 1.820 1.806
Pr 7.704 5.407 5.419
Tm 0.000 3.613 3.613
Tm 2.568 1.825 5.419
Tm 2.568 5.402 1.806
Tm 5.136 3.613 0.000
Tm 7.704 1.825 5.419
Tm 7.704 5.402 1.806
CELL_PARAMETERS angstrom
10.272 0.000 0.000
0.000 7.227 0.000
0.000 0.000 7.225
```